Record 1
{
  "formula": "K3Ni2Br9",
  "functional": "GGA-PBE",
  "state": "relaxed",
  "formation_energy_uncorrected_ev_per_atom": -0.8772,
  "total_energy_ev_per_atom": -3.014,
  "space_group": "R-3c, No. 167",
  "lattice": [[-8.769, -2.186, -4.355], [1.623, -8.109, -5.678], [-3.792, -7.785, 5.064]],
  "species": ["K", "K", "K", "K", "K", "K", "Ni", "Ni", "Ni", "Ni", "Br", "Br", "Br", "Br", "Br", "Br", "Br", "Br", "Br", "Br", "Br", "Br", "Br", "Br", "Br", "Br", "Br", "Br"],
  "fractional_positions": [[0.413, 0.750, 0.087], [0.250, 0.913, 0.587], [0.913, 0.587, 0.250], [0.087, 0.413, 0.750], [0.750, 0.087, 0.413], [0.587, 0.250, 0.913], [0.177, 0.177, 0.177], [0.677, 0.677, 0.677], [0.823, 0.823, 0.823], [0.323, 0.323, 0.323], [0.719, 0.879, 0.058], [0.121, 0.942, 0.281], [0.250, 0.411, 0.089], [0.621, 0.781, 0.442], [0.589, 0.911, 0.750], [0.911, 0.750, 0.589], [0.219, 0.558, 0.379], [0.558, 0.379, 0.219], [0.942, 0.281, 0.121], [0.058, 0.719, 0.879], [0.442, 0.621, 0.781], [0.411, 0.089, 0.250], [0.781, 0.442, 0.621], [0.089, 0.250, 0.411], [0.379, 0.219, 0.558], [0.750, 0.589, 0.911], [0.879, 0.058, 0.719], [0.281, 0.121, 0.942]]
}

Record 2
{
  "formula": "La2TcBr",
  "functional": "GGA-PBE",
  "state": "relaxed",
  "formation_energy_uncorrected_ev_per_atom": -0.3734,
  "total_energy_ev_per_atom": -5.847,
  "space_group": "I-42d, No. 122",
  "lattice": [[6.955, 0.000, 0.000], [0.000, 6.955, 0.000], [3.477, 3.477, 5.929]],
  "species": ["Tc", "Tc", "Br", "Br", "La", "La", "La", "La"],
  "fractional_positions": [[0.000, 0.000, 0.000], [0.750, 0.250, 0.500], [0.500, 0.500, 0.000], [0.250, 0.750, 0.500], [0.705, 0.125, 0.250], [0.045, 0.625, 0.250], [0.375, 0.295, 0.750], [0.875, 0.955, 0.750]]
}

Record 3
{
  "formula": "Dy4Tl2Te",
  "functional": "GGA-PBE",
  "state": "relaxed",
  "formation_energy_uncorrected_ev_per_atom": -0.4487,
  "total_energy_ev_per_atom": -4.203,
  "space_group": "P2_1/m, No. 11",
  "lattice": [[-4.998, -3.872, -2.053], [3.346, -1.420, -5.466], [6.203, -5.896, 5.329]],
  "species": ["Dy", "Dy", "Dy", "Dy", "Dy", "Dy", "Dy", "Dy", "Tl", "Tl", "Tl", "Tl", "Te", "Te"],
  "fractional_positions": [[0.524, 0.499, 0.270], [0.029, 0.750, 0.839], [0.971, 0.250, 0.161], [0.524, 0.001, 0.270], [0.907, 0.250, 0.552], [0.476, 0.999, 0.730], [0.476, 0.501, 0.730], [0.093, 0.750, 0.448], [0.604, 0.750, 0.013], [0.396, 0.250, 0.987], [0.307, 0.250, 0.455], [0.693, 0.750, 0.545], [0.115, 0.750, 0.152], [0.885, 0.250, 0.848]]
}

Repeat the third record exactly.
{
  "formula": "Dy4Tl2Te",
  "functional": "GGA-PBE",
  "state": "relaxed",
  "formation_energy_uncorrected_ev_per_atom": -0.4487,
  "total_energy_ev_per_atom": -4.203,
  "space_group": "P2_1/m, No. 11",
  "lattice": [[-4.998, -3.872, -2.053], [3.346, -1.420, -5.466], [6.203, -5.896, 5.329]],
  "species": ["Dy", "Dy", "Dy", "Dy", "Dy", "Dy", "Dy", "Dy", "Tl", "Tl", "Tl", "Tl", "Te", "Te"],
  "fractional_positions": [[0.524, 0.499, 0.270], [0.029, 0.750, 0.839], [0.971, 0.250, 0.161], [0.524, 0.001, 0.270], [0.907, 0.250, 0.552], [0.476, 0.999, 0.730], [0.476, 0.501, 0.730], [0.093, 0.750, 0.448], [0.604, 0.750, 0.013], [0.396, 0.250, 0.987], [0.307, 0.250, 0.455], [0.693, 0.750, 0.545], [0.115, 0.750, 0.152], [0.885, 0.250, 0.848]]
}